Compound: Ta3AgSb5
Source: the Open Quantum Materials Database
Functional: PBE
Structure: relaxed

Summary:
For the uncorrected energy, the calculation gives -6.4525 eV/atom. For the total magnetization, the calculation gives 0.008 μB/cell. As for the volume: 239.8 Å³ per cell. The space group is P6/mmm, No. 191.

Cell and atoms, written as extended XYZ:
```
9
Lattice="5.7084 0.0000 0.0000 -2.8542 4.9436 0.0000 0.0000 0.0000 8.4982" Properties=species:S:1:pos:R:3 pbc="T T T"
Ta -1.4271 2.4718 0.0000
Ta 2.8542 0.0000 0.0000
Ta 1.4271 2.4718 0.0000
Ag 0.0000 0.0000 4.2491
Sb 0.0000 0.0000 0.0000
Sb 0.0000 3.2958 2.4392
Sb 0.0000 3.2958 6.0591
Sb 2.8542 1.6479 2.4392
Sb 2.8542 1.6479 6.0591
```